i:
Below is a relaxed CeGd crystal, with properties calculated at the PBE level.

total moment	3.2452	μB/atom

Cell lengths 3.992, 3.992, 3.992 Å; angles 90.00, 90.00, 90.00 degrees
Sites, in units of the cell vectors:
1 Gd 0.500 0.500 0.500
2 Ce 0.000 0.000 0.000



ii:
Below is a relaxed CeGd crystal, with properties calculated at the PBE level.

total moment	4.8181	μB/atom

Cell lengths 4.526, 4.526, 4.526 Å; angles 60.00, 60.00, 60.00 degrees
Sites, in units of the cell vectors:
1 Gd 0.500 0.500 0.500
2 Ce 0.000 0.000 0.000



The most stable arrangement is i, and the next structure is 441 meV per atom less stable.



i:
Below is a relaxed Ce3Gd crystal, with properties calculated at the PBE level.

total moment	1.7185	μB/atom

Cell lengths 5.474, 3.296, 6.190 Å; angles 90.00, 90.00, 90.00 degrees
Sites, in units of the cell vectors:
1 Gd 0.000 0.000 0.951
2 Ce 0.000 0.500 0.446
3 Ce 0.500 0.500 0.237
4 Ce 0.500 0.000 0.699



ii:
Below is a relaxed Ce3Gd crystal, with properties calculated at the PBE level.

total moment	1.5107	μB/atom

Cell lengths 4.833, 4.833, 4.833 Å; angles 90.00, 90.00, 90.00 degrees
Sites, in units of the cell vectors:
1 Gd 0.000 0.000 0.000
2 Ce 0.000 0.500 0.500
3 Ce 0.500 0.000 0.500
4 Ce 0.500 0.500 0.000



The most stable arrangement is ii, and the next structure is 22 meV per atom less stable.



i:
Below is a relaxed CeGdGe crystal, with properties calculated at the PBE level.

total moment	2.7602	μB/atom

Cell lengths 4.050, 4.767, 4.767 Å; angles 120.00, 90.00, 90.00 degrees
Sites, in units of the cell vectors:
1 Ge 0.960 0.000 0.000
2 Gd 0.741 0.333 0.667
3 Ce 0.300 0.667 0.333



ii:
Below is a relaxed CeGdGe crystal, with properties calculated at the PBE level.

total moment	2.9180	μB/atom

Cell lengths 4.968, 4.968, 4.968 Å; angles 60.00, 60.00, 60.00 degrees
Sites, in units of the cell vectors:
1 Ge 0.250 0.250 0.250
2 Gd 0.000 0.000 0.000
3 Ce 0.500 0.500 0.500



The most stable arrangement is ii, and the next structure is 115 meV per atom less stable.



i:
Below is a relaxed CeGd2H crystal, with properties calculated at the PBE level.

total moment	3.5304	μB/atom

Cell lengths 3.288, 3.288, 8.575 Å; angles 90.00, 90.00, 90.00 degrees
Sites, in units of the cell vectors:
1 H 0.500 0.500 0.000
2 Gd 0.000 0.000 0.812
3 Gd 0.000 0.000 0.188
4 Ce 0.500 0.500 0.500



ii:
Below is a relaxed CeGd2H crystal, with properties calculated at the PBE level.

total moment	3.4012	μB/atom

Cell lengths 3.578, 3.578, 8.776 Å; angles 78.24, 78.24, 60.00 degrees
Sites, in units of the cell vectors:
1 H 0.000 0.000 0.000
2 Gd 0.723 0.723 0.831
3 Gd 0.277 0.277 0.169
4 Ce 0.500 0.500 0.500



The most stable arrangement is ii, and the next structure is 251 meV per atom less stable.



i:
Below is a relaxed Ce2GdHf crystal, with properties calculated at the PBE level.

total moment	1.6068	μB/atom

Cell lengths 4.881, 4.727, 4.727 Å; angles 90.00, 90.00, 90.00 degrees
Sites, in units of the cell vectors:
1 Gd 0.500 0.500 0.500
2 Hf 0.500 0.000 0.000
3 Ce 0.000 0.000 0.500
4 Ce 0.000 0.500 0.000



ii:
Below is a relaxed Ce2GdHf crystal, with properties calculated at the PBE level.

total moment	1.3666	μB/atom

Cell lengths 5.399, 5.399, 5.399 Å; angles 60.00, 60.00, 60.00 degrees
Sites, in units of the cell vectors:
1 Gd 0.500 0.500 0.500
2 Hf 0.000 0.000 0.000
3 Ce 0.250 0.250 0.250
4 Ce 0.750 0.750 0.750



The most stable arrangement is i, and the next structure is 105 meV per atom less stable.



i:
Below is a relaxed CeGd2Hf crystal, with properties calculated at the PBE level.

total moment	3.5324	μB/atom

Cell lengths 3.316, 3.316, 12.049 Å; angles 82.09, 82.09, 60.00 degrees
Sites, in units of the cell vectors:
1 Gd 0.087 0.087 0.740
2 Gd 0.913 0.913 0.260
3 Hf 0.000 0.000 0.000
4 Ce 0.500 0.500 0.500



ii:
Below is a relaxed CeGd2Hf crystal, with properties calculated at the PBE level.

total moment	3.4219	μB/atom

Cell lengths 4.909, 4.807, 4.807 Å; angles 90.00, 90.00, 90.00 degrees
Sites, in units of the cell vectors:
1 Gd 0.000 0.000 0.500
2 Gd 0.000 0.500 0.000
3 Hf 0.500 0.500 0.500
4 Ce 0.500 0.000 0.000



The most stable arrangement is ii, and the next structure is 193 meV per atom less stable.



i:
Below is a relaxed CeGdIn2 crystal, with properties calculated at the PBE level.

total moment	2.0663	μB/atom

Cell lengths 5.421, 5.421, 5.421 Å; angles 60.00, 60.00, 60.00 degrees
Sites, in units of the cell vectors:
1 Gd 0.500 0.500 0.500
2 Ce 0.000 0.000 0.000
3 In 0.250 0.250 0.250
4 In 0.750 0.750 0.750



ii:
Below is a relaxed CeGdIn2 crystal, with properties calculated at the PBE level.

total moment	1.6041	μB/atom

Cell lengths 3.370, 3.370, 12.159 Å; angles 82.03, 82.03, 60.00 degrees
Sites, in units of the cell vectors:
1 Gd 0.000 0.000 0.000
2 Ce 0.500 0.500 0.500
3 In 0.590 0.590 0.230
4 In 0.410 0.410 0.770



iii:
Below is a relaxed CeGdIn2 crystal, with properties calculated at the PBE level.

total moment	2.1348	μB/atom

Cell lengths 4.591, 4.921, 4.921 Å; angles 90.00, 90.00, 90.00 degrees
Sites, in units of the cell vectors:
1 Gd 0.500 0.000 0.000
2 Ce 0.500 0.500 0.500
3 In 0.000 0.000 0.500
4 In 0.000 0.500 0.000



The most stable arrangement is iii, and the next structure is 11 meV per atom less stable.



i:
Below is a relaxed CeGd2Ir crystal, with properties calculated at the PBE level.

total moment	3.8696	μB/atom

Cell lengths 5.088, 5.088, 5.089 Å; angles 60.01, 60.01, 60.00 degrees
Sites, in units of the cell vectors:
1 Gd 0.250 0.250 0.250
2 Gd 0.750 0.750 0.750
3 Ir 0.000 0.000 0.000
4 Ce 0.500 0.500 0.500



ii:
Below is a relaxed CeGd2Ir crystal, with properties calculated at the PBE level.

total moment	3.1903	μB/atom

Cell lengths 3.506, 3.506, 8.703 Å; angles 90.00, 90.00, 90.00 degrees
Sites, in units of the cell vectors:
1 Gd 0.000 0.000 0.811
2 Gd 0.000 0.000 0.189
3 Ir 0.500 0.500 0.000
4 Ce 0.500 0.500 0.500



The most stable arrangement is ii, and the next structure is 151 meV per atom less stable.